Record 1
The following is a PBE calculation of a relaxed BaCo2Tc crystal, from Alexandria.

a = 3.0818 Å, b = 3.1135 Å, c = 7.6817 Å
α = 90.00°, β = 90.00°, γ = 90.00°
Site moments in Bohr magnetons follow the coordinates.
Fractional positions:
Co (0.0000, 0.0000, 0.0952)  1.62
Co (0.5000, 0.5000, 0.2375)  1.26
Tc (0.0000, 0.0000, 0.4078)  0.03
Ba (0.5000, 0.5000, 0.7594)  -0.04

Calculated values
For the offset from the most stable computed form, the calculation gives 33.9 kJ/mol of atoms. Its calculated formation energy is 0.70 eV/atom. The calculation puts the magnetic moment at 2.83 μB per formula unit.

***

Record 2
The following is a PBE calculation of a relaxed ErTm2Si2Pt7 crystal, from Alexandria.

a = 4.0081 Å, b = 4.0081 Å, c = 13.7432 Å
α = 83.45°, β = 83.45°, γ = 89.53°
Fractional positions:
Pt (0.5000, 0.5000, 0.0000)
Pt (0.0640, 0.5638, 0.8380)
Pt (0.4362, 0.9360, 0.1620)
Pt (0.6430, 0.6430, 0.5698)
Pt (0.5638, 0.0640, 0.8380)
Pt (0.3570, 0.3570, 0.4302)
Pt (0.9360, 0.4362, 0.1620)
Tm (0.8751, 0.8751, 0.3565)
Tm (0.1249, 0.1249, 0.6435)
Si (0.3983, 0.3983, 0.2597)
Si (0.6017, 0.6017, 0.7403)
Er (0.0000, 0.0000, 0.0000)

Calculated values
Its raw formation energy is -1135 meV per atom. The calculation puts the magnetic moment at 0.00 μB per formula unit.

***

Record 3
The following is a PBE calculation of a relaxed Tb5CdHg4 crystal, from Alexandria.

a = 3.7379 Å, b = 3.7379 Å, c = 18.7399 Å
α = 90.00°, β = 90.00°, γ = 90.00°
Site moments in Bohr magnetons follow the coordinates.
Fractional positions:
Tb (0.5000, 0.5000, 0.5000)  0.10
Tb (0.5000, 0.5000, 0.6994)  0.10
Tb (0.5000, 0.5000, 0.8985)  0.08
Tb (0.5000, 0.5000, 0.3006)  0.10
Tb (0.5000, 0.5000, 0.1015)  0.08
Cd (0.0000, 0.0000, 0.0000)  0.01
Hg (0.0000, 0.0000, 0.8007)  0.01
Hg (0.0000, 0.0000, 0.5998)  0.01
Hg (0.0000, 0.0000, 0.1993)  0.01
Hg (0.0000, 0.0000, 0.4002)  0.01

Calculated values
Its calculated formation energy is -0.45 eV/atom. The calculation puts the magnetic moment at 0.71 μB per formula unit.

***

Record 4
The following is a PBE calculation of a relaxed PrNdTm crystal, from Alexandria.

a = 3.4900 Å, b = 8.2921 Å, c = 8.2921 Å
α = 89.06°, β = 90.00°, γ = 90.00°
Fractional positions:
Nd (0.0000, 0.0000, 0.0000)
Nd (0.5000, 0.5000, 0.5000)
Pr (0.0000, 0.7377, 0.7377)
Pr (0.0000, 0.2623, 0.2623)
Tm (0.5000, 0.2359, 0.7641)
Tm (0.5000, 0.7641, 0.2359)

Calculated values
For the offset from the most stable computed form, the calculation gives 61.2 kJ/mol of atoms. Its calculated formation energy is 0.66 eV/atom. The calculation puts the magnetic moment at 0.00 μB per formula unit.

***

Record 5
The following is a PBE calculation of a relaxed KNa2AlO crystal, from Alexandria.

a = 6.2789 Å, b = 3.5988 Å, c = 6.2789 Å
α = 90.00°, β = 90.00°, γ = 90.00°
Fractional positions:
Al (0.0000, 0.5000, 0.0000)
Na (0.0000, 0.0000, 0.5000)
Na (0.5000, 0.0000, 0.0000)
O (0.0000, 0.0000, 0.0000)
K (0.5000, 0.5000, 0.5000)

Calculated values
Its raw formation energy is -457 meV per atom. The calculation puts the magnetic moment at 0.00 μB per formula unit.

***

Record 6
The following is a PBE calculation of a relaxed ZrBe4Ir crystal, from Alexandria.

a = 4.5603 Å, b = 4.5603 Å, c = 4.5603 Å
α = 60.00°, β = 60.00°, γ = 60.00°
Fractional positions:
Be (0.6248, 0.6248, 0.1255)
Be (0.1255, 0.6248, 0.6248)
Be (0.6248, 0.1255, 0.6248)
Be (0.6248, 0.6248, 0.6248)
Ir (0.2500, 0.2500, 0.2500)
Zr (0.0000, 0.0000, 0.0000)

Calculated values
Its calculated formation energy is -0.46 eV/atom. The calculation puts the magnetic moment at 0.00 μB per formula unit.

***

Record 7
The following is a PBE calculation of a relaxed Ca8Sb5P crystal, from Alexandria.

a = 8.1261 Å, b = 8.1261 Å, c = 8.1261 Å
α = 109.85°, β = 108.72°, γ = 109.85°
Fractional positions:
Sb (0.9921, 0.3737, 0.1221)
Sb (0.7484, 0.6263, 0.6184)
Sb (0.3816, 0.1300, 0.0079)
Sb (0.5000, 0.0000, 0.5000)
Sb (0.8779, 0.8700, 0.2516)
Ca (0.1292, 0.7362, 0.0037)
Ca (0.6070, 0.8745, 0.8708)
Ca (0.1288, 0.7452, 0.5319)
Ca (0.4681, 0.5969, 0.2133)
Ca (0.6165, 0.4031, 0.8712)
Ca (0.2675, 0.2638, 0.3930)
Ca (0.9963, 0.1255, 0.7325)
Ca (0.7867, 0.2548, 0.3835)
P (0.2500, 0.5000, 0.7500)

Calculated values
Its raw formation energy is -991 meV per atom. The calculation puts the magnetic moment at 0.00 μB per formula unit.

***

Record 8
The following is a PBE calculation of a relaxed Ce2AlSi4Ni3 crystal, from Alexandria.

a = 4.0317 Å, b = 4.0317 Å, c = 9.8077 Å
α = 90.00°, β = 90.00°, γ = 90.00°
Fractional positions:
Si (0.0000, 0.0000, 0.0000)
Si (0.5000, 0.5000, 0.0000)
Si (0.0000, 0.5000, 0.3535)
Si (0.5000, 0.0000, 0.6465)
Ni (0.5000, 0.0000, 0.8819)
Ni (0.0000, 0.0000, 0.5000)
Ni (0.0000, 0.5000, 0.1181)
Ce (0.5000, 0.0000, 0.2406)
Ce (0.0000, 0.5000, 0.7594)
Al (0.5000, 0.5000, 0.5000)

Calculated values
Its raw formation energy is -781 meV per atom. The calculation puts the magnetic moment at 0.00 μB per formula unit.

***

Record 9
The following is a PBE calculation of a relaxed In2Si2Pb crystal, from Alexandria.

a = 5.0351 Å, b = 5.0351 Å, c = 5.9772 Å
α = 65.09°, β = 65.09°, γ = 90.00°
Fractional positions:
Si (0.6224, 0.6224, 0.7551)
Si (0.3776, 0.3776, 0.2449)
In (0.2500, 0.7500, 0.5000)
In (0.7500, 0.2500, 0.5000)
Pb (0.0000, 0.0000, 0.0000)

Calculated values
Its raw formation energy is 294 meV per atom. For the offset from the most stable computed form, the calculation gives 0.0 kJ/mol of atoms. The calculation puts the magnetic moment at 0.00 μB per formula unit.

***

Record 10
The following is a PBE calculation of a relaxed RbSrIn6 crystal, from Alexandria.

a = 4.9699 Å, b = 7.4772 Å, c = 6.8885 Å
α = 90.00°, β = 90.00°, γ = 90.00°
Fractional positions:
Rb (0.0000, 0.5917, 0.0000)
In (0.0000, 0.7547, 0.5000)
In (0.5000, 0.2333, 0.0000)
In (0.0000, 0.1334, 0.2725)
In (0.0000, 0.1334, 0.7275)
In (0.5000, 0.8736, 0.2451)
In (0.5000, 0.8736, 0.7549)
Sr (0.5000, 0.4064, 0.5000)

Calculated values
Its calculated formation energy is -0.18 eV/atom. The calculation puts the magnetic moment at 0.00 μB per formula unit.

***

Record 11
The following is a PBE calculation of a relaxed HgIrOsO6 crystal, from Alexandria.

a = 7.1361 Å, b = 7.2280 Å, c = 7.2051 Å
α = 120.11°, β = 119.68°, γ = 90.00°
Fractional positions:
O (0.8134, 0.6779, 0.2449)
O (0.5685, 0.3221, 0.7551)
O (0.5610, 0.3110, 0.1220)
O (0.4315, 0.6779, 0.2449)
O (0.1762, 0.9262, 0.3524)
O (0.8134, 0.0670, 0.2449)
O (0.1866, 0.3221, 0.7551)
O (0.4315, 0.0670, 0.2449)
O (0.5685, 0.9330, 0.7551)
O (0.8238, 0.0738, 0.6476)
O (0.4390, 0.6890, 0.8780)
O (0.1866, 0.9330, 0.7551)
Ir (0.5000, 0.0000, 0.5000)
Ir (0.0000, 0.0000, 0.5000)
Os (0.5000, 0.0000, 0.0000)
Os (0.5000, 0.5000, 0.0000)
Hg (0.9183, 0.6683, 0.8366)
Hg (0.0817, 0.3317, 0.1634)

Calculated values
Its raw formation energy is -660 meV per atom. The calculation puts the magnetic moment at 0.00 μB per formula unit.

***

Record 12
The following is a PBE calculation of a relaxed Sn2Hg4AsBr5 crystal, from Alexandria.

a = 7.1375 Å, b = 9.2117 Å, c = 7.4985 Å
α = 90.00°, β = 90.00°, γ = 112.79°
Fractional positions:
As (0.4348, 0.0000, 0.0000)
Hg (0.2699, 0.6808, 0.0000)
Hg (0.6048, 0.0000, 0.3167)
Hg (0.5891, 0.3192, 0.0000)
Hg (0.6048, 0.0000, 0.6833)
Br (0.0658, 0.3771, 0.2515)
Br (0.6886, 0.6229, 0.2515)
Br (0.1007, 0.0000, 0.5000)
Br (0.6886, 0.6229, 0.7485)
Br (0.0658, 0.3771, 0.7485)
Sn (0.3138, 0.3347, 0.5000)
Sn (0.9791, 0.6653, 0.5000)

Calculated values
Its raw formation energy is -338 meV per atom. The calculation puts the magnetic moment at 0.00 μB per formula unit.

***

Record 13
The following is a PBE calculation of a relaxed Be2CdHg2 crystal, from Alexandria.

a = 3.6784 Å, b = 3.6784 Å, c = 7.0083 Å
α = 74.79°, β = 74.79°, γ = 90.00°
Fractional positions:
Cd (0.0000, 0.0000, 0.0000)
Hg (0.6215, 0.6215, 0.7570)
Hg (0.3785, 0.3785, 0.2430)
Be (0.7500, 0.2500, 0.5000)
Be (0.2500, 0.7500, 0.5000)

Calculated values
For the offset from the most stable computed form, the calculation gives 0.0 kJ/mol of atoms. Its calculated formation energy is 0.40 eV/atom. The calculation puts the magnetic moment at 0.00 μB per formula unit.

***

Record 14
The following is a PBE calculation of a relaxed MnFe3Tc crystal, from Alexandria.

a = 4.1207 Å, b = 4.1207 Å, c = 4.1207 Å
α = 90.00°, β = 90.00°, γ = 90.00°
Site moments in Bohr magnetons follow the coordinates.
Fractional positions:
Tc (0.5000, 0.5000, 0.5000)  1.37
Fe (0.0000, 0.5000, 0.0000)  1.69
Fe (0.0000, 0.0000, 0.5000)  1.70
Fe (0.5000, 0.0000, 0.0000)  1.58
Mn (0.0000, 0.0000, 0.0000)  -0.39

Calculated values
For the offset from the most stable computed form, the calculation gives 69.1 kJ/mol of atoms. Its calculated formation energy is 1.27 eV/atom. The calculation puts the magnetic moment at 6.07 μB per formula unit.

***

Record 15
The following is a PBE calculation of a relaxed KAsRu3 crystal, from Alexandria.

a = 4.6648 Å, b = 4.6648 Å, c = 4.6648 Å
α = 90.00°, β = 90.00°, γ = 90.00°
Site moments in Bohr magnetons follow the coordinates.
Fractional positions:
K (0.0000, 0.0000, 0.0000)  0.03
Ru (0.0000, 0.0000, 0.5000)  1.22
Ru (0.0000, 0.5000, 0.0000)  1.68
Ru (0.5000, 0.0000, 0.0000)  1.40
As (0.5000, 0.5000, 0.5000)  -0.10

Calculated values
For the offset from the most stable computed form, the calculation gives 183.7 kJ/mol of atoms. Its calculated formation energy is 2.89 eV/atom. The calculation puts the magnetic moment at 4.33 μB per formula unit.

***

Record 16
The following is a PBE calculation of a relaxed SbIrPt2 crystal, from Alexandria.

a = 4.7021 Å, b = 4.7021 Å, c = 4.6192 Å
α = 74.39°, β = 74.39°, γ = 44.38°
Fractional positions:
Ir (0.2450, 0.2450, 0.2554)
Pt (0.0003, 0.0003, 0.9947)
Pt (0.7519, 0.7519, 0.7627)
Sb (0.5028, 0.5028, 0.4872)

Calculated values
Its raw formation energy is 38 meV per atom. The calculation puts the magnetic moment at 0.00 μB per formula unit.

***

Record 17
The following is a PBE calculation of a relaxed TmPaSi crystal, from Alexandria.

a = 7.4188 Å, b = 7.4188 Å, c = 7.5644 Å
α = 106.07°, β = 106.07°, γ = 115.82°
Site moments in Bohr magnetons follow the coordinates.
Fractional positions:
Pa (0.8976, 0.8976, 0.7951)  0.37
Pa (0.1476, 0.6476, 0.2951)  0.37
Pa (0.3524, 0.8524, 0.7049)  0.37
Pa (0.1024, 0.1024, 0.2049)  0.37
Tm (0.1250, 0.3750, 0.7500)  0.01
Tm (0.6250, 0.8750, 0.2500)  0.01
Tm (0.6250, 0.3750, 0.7500)  0.01
Tm (0.6250, 0.3750, 0.2500)  0.01
Si (0.4515, 0.5485, 0.5000)  0.00
Si (0.0485, 0.9515, 0.5000)  0.00
Si (0.7985, 0.2015, 0.0000)  0.00
Si (0.2015, 0.7985, 0.0000)  0.00

Calculated values
Its raw formation energy is -55 meV per atom. For the offset from the most stable computed form, the calculation gives 0.0 kJ/mol of atoms. The calculation puts the magnetic moment at 0.40 μB per formula unit.

***

Record 18
The following is a PBE calculation of a relaxed MgGaPb crystal, from Alexandria.

a = 4.8325 Å, b = 4.8325 Å, c = 4.8325 Å
α = 60.00°, β = 60.00°, γ = 60.00°
Fractional positions:
Ga (0.2500, 0.2500, 0.2500)
Pb (0.5000, 0.5000, 0.5000)
Mg (0.0000, 0.0000, 0.0000)

Calculated values
For the offset from the most stable computed form, the calculation gives 6.0 kJ/mol of atoms. Its calculated formation energy is 0.05 eV/atom. The calculation puts the magnetic moment at 0.00 μB per formula unit.

***

Record 19
The following is a PBE calculation of a relaxed LaZnSiPd6 crystal, from Alexandria.

a = 6.3957 Å, b = 9.2744 Å, c = 8.0134 Å
α = 125.36°, β = 113.52°, γ = 90.00°
Fractional positions:
Pd (0.0976, 0.8800, 0.7405)
Pd (0.3570, 0.1200, 0.2595)
Pd (0.5625, 0.3125, 0.1251)
Pd (0.9024, 0.1200, 0.2595)
Pd (0.0976, 0.3605, 0.7405)
Pd (0.0712, 0.8212, 0.1424)
Pd (0.6430, 0.8800, 0.7405)
Pd (0.3570, 0.6395, 0.2595)
Pd (0.9024, 0.6395, 0.2595)
Pd (0.9288, 0.1788, 0.8576)
Pd (0.6430, 0.3605, 0.7405)
Pd (0.4375, 0.6875, 0.8749)
La (0.1736, 0.4236, 0.3472)
La (0.8264, 0.5764, 0.6528)
Zn (0.0000, 0.0000, 0.5000)
Zn (0.5000, 0.0000, 0.5000)
Si (0.5000, 0.5000, 0.0000)
Si (0.5000, 0.0000, 0.0000)

Calculated values
Its raw formation energy is -415 meV per atom. The calculation puts the magnetic moment at 0.00 μB per formula unit.

***

Record 20
The following is a PBE calculation of a relaxed CoOs2 crystal, from Alexandria.

a = 6.2126 Å, b = 6.2126 Å, c = 3.6329 Å
α = 90.00°, β = 90.00°, γ = 120.00°
Fractional positions:
Os (0.5968, 0.0000, 0.5000)
Os (0.0000, 0.2549, 0.0000)
Os (0.4032, 0.4032, 0.5000)
Os (0.7451, 0.7451, 0.0000)
Os (0.0000, 0.5968, 0.5000)
Os (0.2549, 0.0000, 0.0000)
Co (0.6667, 0.3333, 0.0000)
Co (0.0000, 0.0000, 0.5000)
Co (0.3333, 0.6667, 0.0000)

Calculated values
For the offset from the most stable computed form, the calculation gives 48.7 kJ/mol of atoms. Its calculated formation energy is 0.55 eV/atom. The calculation puts the magnetic moment at 0.00 μB per formula unit.

***

Record 21
The following is a PBE calculation of a relaxed LuInP2 crystal, from Alexandria.

a = 3.9491 Å, b = 3.9491 Å, c = 6.7253 Å
α = 72.93°, β = 72.93°, γ = 60.00°
Fractional positions:
P (0.2508, 0.2508, 0.2475)
P (0.7492, 0.7492, 0.7525)
Lu (0.5000, 0.5000, 0.5000)
In (0.0000, 0.0000, 0.0000)

Calculated values
Its calculated formation energy is -0.65 eV/atom. The calculation puts the magnetic moment at 0.00 μB per formula unit.

***

Record 22
The following is a PBE calculation of a relaxed Na2Zn6Au9 crystal, from Alexandria.

a = 5.7915 Å, b = 5.7915 Å, c = 12.3917 Å
α = 90.00°, β = 90.00°, γ = 120.00°
Fractional positions:
Zn (0.3333, 0.6667, 0.0000)
Zn (0.6667, 0.3333, 0.0000)
Zn (0.6667, 0.3333, 0.6659)
Zn (0.3333, 0.6667, 0.6659)
Zn (0.6667, 0.3333, 0.3341)
Zn (0.3333, 0.6667, 0.3341)
Na (0.0000, 0.0000, 0.6754)
Na (0.0000, 0.0000, 0.3246)
Au (0.5000, 0.5000, 0.5000)
Au (0.5000, 0.0000, 0.5000)
Au (0.5000, 0.0000, 0.8320)
Au (0.0000, 0.5000, 0.8320)
Au (0.0000, 0.5000, 0.1680)
Au (0.5000, 0.5000, 0.1680)
Au (0.0000, 0.5000, 0.5000)
Au (0.5000, 0.0000, 0.1680)
Au (0.5000, 0.5000, 0.8320)

Calculated values
Its calculated formation energy is -0.17 eV/atom. The calculation puts the magnetic moment at 0.00 μB per formula unit.

***

Record 23
The following is a PBE calculation of a relaxed ErHfIrPt crystal, from Alexandria.

a = 4.7619 Å, b = 4.7619 Å, c = 4.7619 Å
α = 60.00°, β = 60.00°, γ = 60.00°
Fractional positions:
Er (0.0000, 0.0000, 0.0000)
Pt (0.7500, 0.7500, 0.7500)
Hf (0.5000, 0.5000, 0.5000)
Ir (0.2500, 0.2500, 0.2500)

Calculated values
Its calculated formation energy is -0.96 eV/atom. The calculation puts the magnetic moment at 0.00 μB per formula unit.

***

Record 24
The following is a PBE calculation of a relaxed Pm2Sm6Ga crystal, from Alexandria.

a = 3.5862 Å, b = 9.4747 Å, c = 9.9382 Å
α = 118.47°, β = 90.93°, γ = 90.00°
Fractional positions:
Sm (0.9941, 0.3324, 0.3260)
Sm (0.5000, 0.2756, 0.0000)
Sm (0.9941, 0.9936, 0.3260)
Sm (0.5000, 0.7244, 0.0000)
Sm (0.0059, 0.0064, 0.6740)
Sm (0.0059, 0.6676, 0.6740)
Pm (0.4870, 0.6742, 0.3483)
Pm (0.5130, 0.3258, 0.6517)
Ga (0.0000, 0.0000, 0.0000)

Calculated values
Its calculated formation energy is 0.03 eV/atom. The calculation puts the magnetic moment at 0.00 μB per formula unit.